Entry from Alexandria via LeMat-Bulk: an optimized crystal structure of SrMnRe2 (PBE).

Cell: 5.7260 5.7260 2.7019 Å, 81.32 81.32 122.58°
Closest atoms and distances in Å follow each position.
Fractional positions:
1 Mn 0.0000 0.5000 0.5000  2 Mn 2.70, 2 Sr 2.75, 4 Re 2.98
2 Sr 0.5000 0.0000 0.5000  2 Sr 2.70, 2 Mn 2.75, 4 Re 2.98
3 Re 0.0000 0.0000 0.0000  4 Re 2.70-2.75, 2 Mn 2.98, 2 Sr 2.98
4 Re 0.5000 0.5000 0.0000  4 Re 2.70-2.75, 2 Sr 2.98, 2 Mn 2.98

**Crystal system**: monoclinic
**Energy of formation**: 1.0225 eV/atom
**Magnetic moment**: 3.322 μB/f.u.
**Mass density**: 12.1 g cm⁻³
**Excess energy over the best structure of this formula in the dataset**: 541 meV per atom